# PBE AcBI, relaxed
# calculated volume	118.7	Å³/f.u.
# N(E_F)	0.488	states/eV per atom
data_AcBI
_cell_length_a 4.4620
_cell_length_b 6.6141
_cell_length_c 8.7143
_cell_angle_alpha 69.37
_cell_angle_beta 80.97
_cell_angle_gamma 89.47
_space_group_name_H-M_alt 'P -1'
_space_group_IT_number 2
loop_
_space_group_symop_operation_xyz
'x,y,z'
'-x,-y,-z'
loop_
_atom_site_label
_atom_site_fract_x
_atom_site_fract_y
_atom_site_fract_z
_atom_site_occupancy
Ac1 0.1987 0.1359 0.2426 1
B1 0.3696 0.9268 0.5623 1
I1 0.2139 0.6967 0.1154 1


# PBE Ac4B2I5, relaxed
# calculated volume	421.9	Å³/f.u.
# N(E_F)	0.473	states/eV per atom
data_Ac4B2I5
_cell_length_a 4.3489
_cell_length_b 9.2539
_cell_length_c 20.9669
_cell_angle_alpha 90.00
_cell_angle_beta 90.00
_cell_angle_gamma 90.00
_space_group_name_H-M_alt 'I m m m'
_space_group_IT_number 71
_space_group_name_Hall '-I 2 2'
loop_
_atom_site_label
_atom_site_fract_x
_atom_site_fract_y
_atom_site_fract_z
_atom_site_occupancy
Ac1 0.0000 0.0000 0.1625 1
Ac2 0.0000 0.3019 0.5000 1
B1 0.0000 0.0000 0.0380 1
I1 0.0000 0.2242 0.3358 1
I2 0.0000 0.5000 0.0000 1


# PBE AcB2IO8, relaxed
# calculated volume	143.9	Å³/f.u.
# N(E_F)	0.000	states/eV per atom
data_AcB2IO8
_cell_length_a 7.6713
_cell_length_b 5.0024
_cell_length_c 7.5181
_cell_angle_alpha 90.00
_cell_angle_beta 93.99
_cell_angle_gamma 90.00
_space_group_name_H-M_alt 'C 1 2/m 1'
_space_group_IT_number 12
loop_
_space_group_symop_operation_xyz
'x,y,z'
'-x,-y,-z'
'-x,y,-z'
'x,-y,z'
'x+1/2,y+1/2,z'
'-x+1/2,-y+1/2,-z'
'-x+1/2,y+1/2,-z'
'x+1/2,-y+1/2,z'
loop_
_atom_site_label
_atom_site_fract_x
_atom_site_fract_y
_atom_site_fract_z
_atom_site_occupancy
Ac1 0.0000 0.0000 0.0000 1
B1 0.1390 0.5000 0.2901 1
I1 0.0000 0.0000 0.5000 1
O1 0.0199 0.2541 0.3097 1
O2 0.1897 0.5000 0.1155 1
O3 0.2422 0.0000 0.5469 1


# PBE Ac4BPI2, relaxed
# calculated volume	275.5	Å³/f.u.
# N(E_F)	0.501	states/eV per atom
data_Ac4BPI2
_cell_length_a 7.5975
_cell_length_b 4.3807
_cell_length_c 8.6541
_cell_angle_alpha 90.00
_cell_angle_beta 106.99
_cell_angle_gamma 90.00
_space_group_name_H-M_alt 'P 1 2/m 1'
_space_group_IT_number 10
loop_
_space_group_symop_operation_xyz
'x,y,z'
'-x,-y,-z'
'-x,y,-z'
'x,-y,z'
loop_
_atom_site_label
_atom_site_fract_x
_atom_site_fract_y
_atom_site_fract_z
_atom_site_occupancy
Ac1 0.2125 0.0000 0.1845 1
Ac2 0.2568 0.5000 0.8092 1
B1 0.0000 0.5000 0.0000 1
P1 0.5000 0.0000 0.0000 1
I1 0.0000 0.0000 0.5000 1
I2 0.5000 0.5000 0.5000 1


# PBE Ac4BSeI2, relaxed
# calculated volume	278.8	Å³/f.u.
# N(E_F)	0.441	states/eV per atom
data_Ac4BSeI2
_cell_length_a 7.7730
_cell_length_b 4.3815
_cell_length_c 8.5603
_cell_angle_alpha 90.00
_cell_angle_beta 107.01
_cell_angle_gamma 90.00
_space_group_name_H-M_alt 'P 1 2/m 1'
_space_group_IT_number 10
loop_
_space_group_symop_operation_xyz
'x,y,z'
'-x,-y,-z'
'-x,y,-z'
'x,-y,z'
loop_
_atom_site_label
_atom_site_fract_x
_atom_site_fract_y
_atom_site_fract_z
_atom_site_occupancy
Ac1 0.2054 0.0000 0.1868 1
Ac2 0.2406 0.5000 0.8039 1
B1 0.0000 0.5000 0.0000 1
Se1 0.5000 0.0000 0.0000 1
I1 0.0000 0.0000 0.5000 1
I2 0.5000 0.5000 0.5000 1


# PBE Ac3InB2N6, relaxed
# calculated volume	184.5	Å³/f.u.
# N(E_F)	0.015	states/eV per atom
data_Ac3InB2N6
_cell_length_a 5.6686
_cell_length_b 5.6686
_cell_length_c 6.6295
_cell_angle_alpha 90.00
_cell_angle_beta 90.00
_cell_angle_gamma 120.00
_space_group_name_H-M_alt 'P -3 m 1'
_space_group_IT_number 164
_space_group_name_Hall '-P 3 2"'
loop_
_atom_site_label
_atom_site_fract_x
_atom_site_fract_y
_atom_site_fract_z
_atom_site_occupancy
Ac1 0.0000 0.0000 0.0000 1
Ac2 0.3333 0.6667 0.6765 1
In1 0.0000 0.0000 0.5000 1
B1 0.3333 0.6667 0.2696 1
N1 0.1834 0.3667 0.2820 1


Number 1: E -4.5080 eV per atom, raw formation energy -1.19 eV/f.u.. Number 2: E -4.4113 eV per atom, raw formation energy -10.98 eV/f.u.. Number 3: E -6.6550 eV per atom, raw formation energy -21.18 eV/f.u.. Number 4: E -4.8767 eV per atom, raw formation energy -7.39 eV/f.u.. Number 5: E -4.6936 eV per atom, raw formation energy -7.85 eV/f.u.. Number 6: E -7.3925 eV per atom, raw formation energy -10.34 eV/f.u..